Crystalline Zr2MnTl2Te6 at its relaxed geometry. Source: Alexandria, functional PBE.

Summary:
* formation energy from raw total energies: -572 meV/atom

Unit cell a=7.1739 b=7.1739 c=8.6314 alpha=98.17 beta=98.17 gamma=120.22
Closest atoms and distances in Å follow each position.
Positions (direct):
Zr: 0.1689 0.8311 0.0000  6 Te 2.93-2.94
Zr: 0.8311 0.1689 0.0000  6 Te 2.93-2.94
Mn: 0.5000 0.5000 0.0000  6 Te 2.88-2.90
Tl: 0.3305 0.6695 0.5000  6 Te 3.41-3.44
Tl: 0.6695 0.3305 0.5000  6 Te 3.41-3.44
Te: 0.0999 0.4273 0.7958  1 Mn 2.90, 2 Zr 2.93
Te: 0.2393 0.2393 0.2005  1 Mn 2.88, 2 Zr 2.94
Te: 0.4273 0.0999 0.7958  1 Mn 2.90, 2 Zr 2.93
Te: 0.5727 0.9001 0.2042  1 Mn 2.90, 2 Zr 2.93
Te: 0.7607 0.7607 0.7995  1 Mn 2.88, 2 Zr 2.94
Te: 0.9001 0.5727 0.2042  1 Mn 2.90, 2 Zr 2.93

---

Crystalline Be3HgC at its relaxed geometry. Source: Alexandria, functional PBE.

Summary:
* relative energy among the computed polymorphs: 1672.9 meV per atom
* ΔH_f (0 K): 2.13 eV per atom

Unit cell a=4.4064 b=4.4064 c=4.4064 alpha=90.00 beta=90.00 gamma=90.00
Closest atoms and distances in Å follow each position.
Positions (direct):
Be: 0.0000 0.0000 0.5000  2 Hg 2.20
Be: 0.0000 0.5000 0.0000  2 Hg 2.20
Be: 0.5000 0.0000 0.0000  2 Hg 2.20
Hg: 0.0000 0.0000 0.0000  6 Be 2.20
C: 0.5000 0.5000 0.5000  12 Be 3.12

---

Crystalline CaThPd2 at its relaxed geometry. Source: Alexandria, functional PBE.

Summary:
* relative energy among the computed polymorphs: 27.7 meV per atom
* ΔH_f (0 K): -0.68 eV per atom

Unit cell a=5.0705 b=5.0705 c=5.0705 alpha=60.00 beta=60.00 gamma=60.00
Closest atoms and distances in Å follow each position.
Positions (direct):
Ca: 0.0000 0.0000 0.0000  8 Pd 3.11
Th: 0.5000 0.5000 0.5000  8 Pd 3.11
Pd: 0.2500 0.2500 0.2500  4 Th 3.11, 4 Ca 3.11
Pd: 0.7500 0.7500 0.7500  4 Th 3.11, 4 Ca 3.11

---

Crystalline PSe3 at its relaxed geometry. Source: Alexandria, functional PBE.

Summary:
* relative energy among the computed polymorphs: 146.4 meV per atom
* formation energy from raw total energies: 373 meV/atom

Unit cell a=16.9323 b=16.9323 c=16.9323 alpha=167.73 beta=167.73 gamma=17.38
Closest atoms and distances in Å follow each position.
Positions (direct):
P: 0.1405 0.1405 0.0000  4 Se 2.59
P: 0.8595 0.8595 0.0000  4 Se 2.59
Se: 0.0000 0.5000 0.5000  4 Se 2.56
Se: 0.2500 0.7500 0.5000  4 Se 2.56
Se: 0.3724 0.3724 0.0000  4 P 2.59
Se: 0.5000 0.0000 0.5000  4 Se 2.56
Se: 0.6276 0.6276 0.0000  4 P 2.59
Se: 0.7500 0.2500 0.5000  4 Se 2.56

---

Crystalline La2HPd6 at its relaxed geometry. Source: Alexandria, functional PBE.

Summary:
* DFT total energy: -50.9 eV/cell

Unit cell a=6.0091 b=6.0091 c=6.0091 alpha=120.11 beta=120.11 gamma=89.82
Closest atoms and distances in Å follow each position.
Positions (direct):
La: 0.2500 0.7500 0.5000  12 Pd 3.00
La: 0.7500 0.2500 0.5000  12 Pd 3.00
H: 0.0000 0.0000 0.0000  6 Pd 2.13
Pd: 0.2506 0.2506 0.0000  1 H 2.13
Pd: 0.2509 0.2509 0.5018  1 H 2.13
Pd: 0.2509 0.7491 0.0000  1 H 2.13
Pd: 0.7491 0.2509 0.0000  1 H 2.13
Pd: 0.7494 0.7494 0.0000  1 H 2.13
Pd: 0.7491 0.7491 0.4982  1 H 2.13

---

Crystalline LiPr3Tl2 at its relaxed geometry. Source: Alexandria, functional PBE.

Summary:
* relative energy among the computed polymorphs: 31.4 meV per atom
* ΔH_f (0 K): -0.24 eV per atom

Unit cell a=9.4961 b=9.4961 c=9.4961 alpha=138.34 beta=59.84 gamma=139.05
Closest atoms and distances in Å follow each position.
Positions (direct):
Li: 0.2500 0.2500 0.0000  4 Tl 3.13, 2 Li 3.32, 2 Pr 3.38
Li: 0.7500 0.7500 0.0000  4 Tl 3.13, 2 Li 3.32, 2 Pr 3.38
Pr: 0.1770 0.2328 0.4098  4 Tl 3.20-3.41
Pr: 0.2500 0.7500 0.5000  4 Tl 3.24, 2 Pr 3.32, 2 Li 3.38
Pr: 0.3230 0.7328 0.0558  4 Tl 3.20-3.41
Pr: 0.6770 0.2672 0.9442  4 Tl 3.20-3.41
Pr: 0.7500 0.2500 0.5000  4 Tl 3.24, 2 Pr 3.32, 2 Li 3.38
Pr: 0.8230 0.7672 0.5902  4 Tl 3.20-3.41
Tl: 0.1292 0.7645 0.8938  2 Li 3.13, 6 Pr 3.20-3.41
Tl: 0.3708 0.2645 0.6353  2 Li 3.13, 6 Pr 3.20-3.41
Tl: 0.6292 0.7355 0.3647  2 Li 3.13, 6 Pr 3.20-3.41
Tl: 0.8708 0.2355 0.1062  2 Li 3.13, 6 Pr 3.20-3.41

---

Crystalline LiLaAgGe at its relaxed geometry. Source: Alexandria, functional PBE.

Summary:
* ΔH_f (0 K): -0.42 eV per atom

Unit cell a=5.0466 b=5.0466 c=5.0466 alpha=60.00 beta=60.00 gamma=60.00
Closest atoms and distances in Å follow each position.
Positions (direct):
Li: 0.0000 0.0000 0.0000  4 Ag 3.09, 4 Ge 3.09
La: 0.5000 0.5000 0.5000  4 Ge 3.09, 4 Ag 3.09
Ag: 0.7500 0.7500 0.7500  4 La 3.09, 4 Li 3.09
Ge: 0.2500 0.2500 0.2500  4 La 3.09, 4 Li 3.09

---

Crystalline TlGaTe2N at its relaxed geometry. Source: Alexandria, functional PBE.

Summary:
* relative energy among the computed polymorphs: 630.1 meV per atom
* formation energy from raw total energies: 1042 meV/atom

Unit cell a=6.0059 b=6.0059 c=4.3180 alpha=90.00 beta=90.00 gamma=90.00
Closest atoms and distances in Å follow each position.
Positions (direct):
Tl: 0.0000 0.0000 0.0000  2 N 2.16
Ga: 0.5000 0.5000 0.5000  8 Te 3.70
Te: 0.0000 0.5000 0.0000  2 Tl 3.00
Te: 0.5000 0.0000 0.0000  2 Tl 3.00
N: 0.0000 0.0000 0.5000  2 Tl 2.16